A plane-wave DFT calculation with GGA-PBEsol was carried out for a relaxed structure of LiSb2Cl.

Cell: 6.955 4.019 8.666 Å, 90.00 105.71 90.00°
Space group Cm (No. 8)
One atom of each set of equivalent atoms:
Li: 0.000 0.000 0.000 x2
Sb: 0.197 0.000 0.595 x2
Sb: 0.464 0.000 0.397 x2
Cl: 0.166 0.500 0.999 x2

## Properties
* uncorrected formation energy: -766.3 meV per atom
* crystal system: monoclinic
* E_tot: -32.31 eV per cell